[1]
Here is LiTa2C at its PBEsol-relaxed geometry from Alexandria via LeMat-Bulk. Energies are from SCAN. Values from VASP.

Cell and atoms, written as Quantum ESPRESSO input:
```
&SYSTEM
  ibrav = 0, nat = 16, ntyp = 3
/
ATOMIC_SPECIES
Li 6.94 Li.upf
Ta 180.95 Ta.upf
C 12.01 C.upf
CELL_PARAMETERS angstrom
6.508 0.000 0.000
0.000 6.508 0.000
0.000 0.000 5.203
ATOMIC_POSITIONS crystal
Li 0.000 0.000 0.000
Li 0.000 0.500 0.250
Li 0.500 0.000 0.750
Li 0.500 0.500 0.500
Ta 0.186 0.250 0.625
Ta 0.250 0.686 0.875
Ta 0.250 0.814 0.375
Ta 0.314 0.250 0.125
Ta 0.686 0.750 0.125
Ta 0.750 0.186 0.375
Ta 0.750 0.314 0.875
Ta 0.814 0.750 0.625
C 0.000 0.000 0.500
C 0.000 0.500 0.750
C 0.500 0.000 0.250
C 0.500 0.500 0.000
```

Properties
The total energy is -35.97 eV/atom. Its space-group type is I-42d, No. 122.

=====

[2]
Here is Li2TeC at its PBEsol-relaxed geometry from Alexandria via LeMat-Bulk. Energies are from SCAN. Values from VASP.

Cell and atoms, written as Quantum ESPRESSO input:
```
&SYSTEM
  ibrav = 0, nat = 16, ntyp = 3
/
ATOMIC_SPECIES
Li 6.94 Li.upf
Te 127.60 Te.upf
C 12.01 C.upf
CELL_PARAMETERS angstrom
3.786 0.000 0.000
0.000 3.786 0.000
0.000 0.000 15.971
ATOMIC_POSITIONS crystal
Li 0.166 0.250 0.125
Li 0.250 0.666 0.375
Li 0.250 0.834 0.875
Li 0.334 0.250 0.625
Li 0.666 0.750 0.625
Li 0.750 0.166 0.875
Li 0.750 0.334 0.375
Li 0.834 0.750 0.125
Te 0.000 0.000 0.500
Te 0.000 0.500 0.750
Te 0.500 0.000 0.250
Te 0.500 0.500 0.000
C 0.000 0.000 0.000
C 0.000 0.500 0.250
C 0.500 0.000 0.750
C 0.500 0.500 0.500
```

Properties
Its space-group type is I-42d, No. 122. The calculation puts the uncorrected formation energy at 562 meV/atom.

=====

[3]
Here is LiTeC3 at its PBEsol-relaxed geometry from Alexandria via LeMat-Bulk. Energies are from SCAN. Values from VASP.

Cell and atoms, written as Quantum ESPRESSO input:
```
&SYSTEM
  ibrav = 0, nat = 5, ntyp = 3
/
ATOMIC_SPECIES
Li 6.94 Li.upf
Te 127.60 Te.upf
C 12.01 C.upf
CELL_PARAMETERS angstrom
3.803 0.000 0.000
0.000 3.803 0.000
0.000 0.000 3.803
ATOMIC_POSITIONS crystal
Li 0.000 0.000 0.000
Te 0.500 0.500 0.500
C 0.000 0.000 0.500
C 0.000 0.500 0.000
C 0.500 0.000 0.000
```

Properties
Its space-group type is Pm-3m, No. 221. The calculation puts the uncorrected formation energy at 2949 meV/atom.

=====

[4]
Here is LiTlC3 at its PBEsol-relaxed geometry from Alexandria via LeMat-Bulk. Energies are from SCAN. Values from VASP.

Cell and atoms, written as Quantum ESPRESSO input:
```
&SYSTEM
  ibrav = 0, nat = 5, ntyp = 3
/
ATOMIC_SPECIES
Li 6.94 Li.upf
Tl 204.38 Tl.upf
C 12.01 C.upf
CELL_PARAMETERS angstrom
4.426 0.000 0.000
0.000 4.426 0.000
0.000 0.000 4.426
ATOMIC_POSITIONS crystal
Li 0.000 0.000 0.000
Tl 0.500 0.500 0.500
C 0.000 0.500 0.500
C 0.500 0.000 0.500
C 0.500 0.500 0.000
```

Properties
The total energy is -17.68 eV/atom. Its space-group type is Pm-3m, No. 221.

=====

[5]
Here is Li2TlC at its PBEsol-relaxed geometry from Alexandria via LeMat-Bulk. Energies are from SCAN. Values from VASP.

Cell and atoms, written as Quantum ESPRESSO input:
```
&SYSTEM
  ibrav = 0, nat = 16, ntyp = 3
/
ATOMIC_SPECIES
Li 6.94 Li.upf
Tl 204.38 Tl.upf
C 12.01 C.upf
CELL_PARAMETERS angstrom
5.950 0.000 0.000
0.000 5.950 0.000
0.000 0.000 5.950
ATOMIC_POSITIONS crystal
Li 0.250 0.250 0.250
Li 0.250 0.250 0.750
Li 0.250 0.750 0.250
Li 0.250 0.750 0.750
Li 0.750 0.250 0.250
Li 0.750 0.250 0.750
Li 0.750 0.750 0.250
Li 0.750 0.750 0.750
Tl 0.000 0.000 0.000
Tl 0.000 0.500 0.500
Tl 0.500 0.000 0.500
Tl 0.500 0.500 0.000
C 0.000 0.000 0.500
C 0.000 0.500 0.000
C 0.500 0.000 0.000
C 0.500 0.500 0.500
```

Properties
The total energy is -21.03 eV/atom. Its space-group type is Fm-3m, No. 225.

=====

[6]
Here is Li2ZnC at its PBEsol-relaxed geometry from Alexandria via LeMat-Bulk. Energies are from SCAN. Values from VASP.

Cell and atoms, written as Quantum ESPRESSO input:
```
&SYSTEM
  ibrav = 0, nat = 16, ntyp = 3
/
ATOMIC_SPECIES
Li 6.94 Li.upf
Zn 65.41 Zn.upf
C 12.01 C.upf
CELL_PARAMETERS angstrom
8.475 0.000 0.000
0.000 8.475 0.000
0.000 0.000 3.697
ATOMIC_POSITIONS crystal
Li 0.000 0.000 0.000
Li 0.000 0.500 0.000
Li 0.250 0.250 0.750
Li 0.250 0.750 0.250
Li 0.500 0.000 0.500
Li 0.500 0.500 0.500
Li 0.750 0.250 0.750
Li 0.750 0.750 0.250
Zn 0.000 0.250 0.375
Zn 0.000 0.750 0.625
Zn 0.500 0.250 0.125
Zn 0.500 0.750 0.875
C 0.000 0.250 0.875
C 0.000 0.750 0.125
C 0.500 0.250 0.625
C 0.500 0.750 0.375
```

Properties
The total energy is -6.86 eV/atom. Its space-group type is I4_1/amd, No. 141.

=====

[7]
Here is LiZrC2 at its PBEsol-relaxed geometry from Alexandria via LeMat-Bulk. Energies are from SCAN. Values from VASP.

Cell and atoms, written as Quantum ESPRESSO input:
```
&SYSTEM
  ibrav = 0, nat = 16, ntyp = 3
/
ATOMIC_SPECIES
Li 6.94 Li.upf
Zr 91.22 Zr.upf
C 12.01 C.upf
CELL_PARAMETERS angstrom
3.633 0.000 0.000
0.000 3.633 0.000
0.000 0.000 12.338
ATOMIC_POSITIONS crystal
Li 0.000 0.000 0.000
Li 0.000 0.500 0.250
Li 0.500 0.000 0.750
Li 0.500 0.500 0.500
Zr 0.000 0.000 0.500
Zr 0.000 0.500 0.750
Zr 0.500 0.000 0.250
Zr 0.500 0.500 0.000
C 0.087 0.250 0.125
C 0.250 0.587 0.375
C 0.250 0.913 0.875
C 0.413 0.250 0.625
C 0.587 0.750 0.625
C 0.750 0.087 0.875
C 0.750 0.413 0.375
C 0.913 0.750 0.125
```

Properties
The total energy is -12.65 eV/atom. Its space-group type is I-42d, No. 122.

=====

[8]
Here is Lu2C3 at its PBEsol-relaxed geometry from Alexandria via LeMat-Bulk. Energies are from SCAN. Values from VASP.

Cell and atoms, written as Quantum ESPRESSO input:
```
&SYSTEM
  ibrav = 0, nat = 20, ntyp = 2
/
ATOMIC_SPECIES
Lu 174.97 Lu.upf
C 12.01 C.upf
CELL_PARAMETERS angstrom
-3.951 3.951 3.951
3.951 -3.951 3.951
3.951 3.951 -3.951
ATOMIC_POSITIONS crystal
Lu 0.000 0.100 0.500
Lu 0.000 0.600 0.500
Lu 0.100 0.500 0.000
Lu 0.400 0.400 0.400
Lu 0.500 0.000 0.100
Lu 0.500 0.000 0.600
Lu 0.600 0.500 0.000
Lu 0.900 0.900 0.900
C 0.040 0.790 0.250
C 0.210 0.960 0.250
C 0.250 0.040 0.790
C 0.250 0.210 0.960
C 0.290 0.540 0.750
C 0.460 0.710 0.750
C 0.540 0.750 0.290
C 0.710 0.750 0.460
C 0.750 0.290 0.540
C 0.750 0.460 0.710
C 0.790 0.250 0.040
C 0.960 0.250 0.210
```

Properties
The total energy is -28.59 eV/atom. Its space-group type is I-43d, No. 220.

=====

[9]
Here is Lu4C7 at its PBEsol-relaxed geometry from Alexandria via LeMat-Bulk. Energies are from SCAN. Values from VASP.

Cell and atoms, written as Quantum ESPRESSO input:
```
&SYSTEM
  ibrav = 0, nat = 22, ntyp = 2
/
ATOMIC_SPECIES
Lu 174.97 Lu.upf
C 12.01 C.upf
CELL_PARAMETERS angstrom
3.551 0.000 0.000
0.000 13.435 0.000
-1.643 0.000 5.971
ATOMIC_POSITIONS crystal
Lu 0.061 0.160 0.163
Lu 0.061 0.340 0.663
Lu 0.366 0.055 0.739
Lu 0.366 0.445 0.239
Lu 0.634 0.555 0.761
Lu 0.634 0.945 0.261
Lu 0.939 0.660 0.337
Lu 0.939 0.840 0.837
C 0.000 0.000 0.000
C 0.000 0.500 0.500
C 0.268 0.603 0.050
C 0.268 0.897 0.550
C 0.372 0.698 0.042
C 0.372 0.802 0.542
C 0.465 0.213 0.924
C 0.465 0.287 0.424
C 0.535 0.713 0.576
C 0.535 0.787 0.076
C 0.628 0.198 0.458
C 0.628 0.302 0.958
C 0.732 0.103 0.450
C 0.732 0.397 0.950
```

Properties
The total energy is -27.02 eV/atom. Its space-group type is P2_1/c, No. 14.

=====

[10]
Here is Lu2Mo2C3 at its PBEsol-relaxed geometry from Alexandria via LeMat-Bulk. Energies are from SCAN. Values from VASP.

Cell and atoms, written as Quantum ESPRESSO input:
```
&SYSTEM
  ibrav = 0, nat = 14, ntyp = 3
/
ATOMIC_SPECIES
Lu 174.97 Lu.upf
Mo 95.94 Mo.upf
C 12.01 C.upf
CELL_PARAMETERS angstrom
11.136 0.000 0.000
0.000 3.294 0.000
-1.829 0.000 5.230
ATOMIC_POSITIONS crystal
Lu 0.116 0.000 0.318
Lu 0.384 0.500 0.682
Lu 0.616 0.500 0.318
Lu 0.884 0.000 0.682
Mo 0.147 0.500 0.865
Mo 0.353 0.000 0.135
Mo 0.647 0.000 0.865
Mo 0.853 0.500 0.135
C 0.000 0.500 0.000
C 0.232 0.000 0.753
C 0.268 0.500 0.247
C 0.500 0.000 0.000
C 0.732 0.500 0.753
C 0.768 0.000 0.247
```

Properties
The total energy is -30.55 eV/atom. Its space-group type is C2/m, No. 12.

=====

[11]
Here is Lu4Ni2C5 at its PBEsol-relaxed geometry from Alexandria via LeMat-Bulk. Energies are from SCAN. Values from VASP.

Cell and atoms, written as Quantum ESPRESSO input:
```
&SYSTEM
  ibrav = 0, nat = 11, ntyp = 3
/
ATOMIC_SPECIES
Lu 174.97 Lu.upf
Ni 58.69 Ni.upf
C 12.01 C.upf
CELL_PARAMETERS angstrom
3.462 0.000 0.000
0.000 11.257 0.000
0.000 0.000 3.602
ATOMIC_POSITIONS crystal
Lu 0.000 0.000 0.000
Lu 0.000 0.297 0.716
Lu 0.000 0.703 0.716
Lu 0.500 0.500 0.219
Ni 0.500 0.115 0.512
Ni 0.500 0.885 0.512
C 0.000 0.500 0.724
C 0.500 0.167 0.012
C 0.500 0.273 0.217
C 0.500 0.727 0.217
C 0.500 0.833 0.012
```

Properties
The total energy is -28.19 eV/atom. Its space-group type is Pmm2, No. 25.

=====

[12]
Here is Lu3PbC at its PBEsol-relaxed geometry from Alexandria via LeMat-Bulk. Energies are from SCAN. Values from VASP.

Cell and atoms, written as Quantum ESPRESSO input:
```
&SYSTEM
  ibrav = 0, nat = 5, ntyp = 3
/
ATOMIC_SPECIES
Lu 174.97 Lu.upf
Pb 207.20 Pb.upf
C 12.01 C.upf
CELL_PARAMETERS angstrom
4.719 0.000 0.000
0.000 4.719 0.000
0.000 0.000 4.719
ATOMIC_POSITIONS crystal
Lu 0.000 0.000 0.500
Lu 0.000 0.500 0.000
Lu 0.500 0.000 0.000
Pb 0.500 0.500 0.500
C 0.000 0.000 0.000
```

Properties
The total energy is -51.14 eV/atom. Its space-group type is Pm-3m, No. 221.